This record from Alexandria describes YSnH2Cl at its PBEsol-relaxed geometry. The functional is SCAN.

Cell: 3.8302 3.8302 6.5595 Å, 90.00 90.00 90.00°
Positions (direct):
1 Y 0.5000 0.5000 0.5000
2 H 0.0000 0.5000 0.0000
3 H 0.5000 0.0000 0.0000
4 Sn 0.0000 0.0000 0.0000
5 Cl 0.0000 0.0000 0.5000

Output
Symmetry ... P4/mmm (123)
Size of the total moment ... 0.000 μB per atom
DFT total energy ... -15.7228 eV per atom